No. 1
An optimized crystal structure of TiInHg2Sb. Source: Alexandria via LeMat-Bulk, functional PBE.

D(E_F), states/eV/cell: 3.941
Final energy, eV/f.u.: -14.35

Cell lengths 5.428, 5.428, 5.256 Å; angles 90.00, 90.00, 90.00 degrees
Atoms (fractional coordinates):
Ti1 0.000 0.000 0.000
In1 0.500 0.500 0.500
Hg1 0.000 0.500 0.000
Hg2 0.500 0.000 0.000
Sb1 0.000 0.000 0.500

***

No. 2
An optimized crystal structure of Tl5InHg2Sb. Source: Alexandria via LeMat-Bulk, functional PBE.

D(E_F), states/eV/cell: 6.526
Final energy, eV/f.u.: -19.24

Cell lengths 10.082, 10.082, 13.382 Å; angles 102.59, 102.59, 25.27 degrees
Atoms (fractional coordinates):
Tl1 0.000 0.000 0.000
Tl2 0.112 0.112 0.254
Tl3 0.137 0.137 0.530
Tl4 0.213 0.213 0.992
Tl5 0.322 0.322 0.573
Tl6 0.376 0.376 0.846
Tl7 0.442 0.442 0.163
Tl8 0.514 0.514 0.575
Tl9 0.737 0.737 0.736
Tl10 0.790 0.790 0.218
In1 0.549 0.549 0.850
In2 0.983 0.983 0.367
Hg1 0.625 0.625 0.088
Hg2 0.719 0.719 0.414
Hg3 0.834 0.834 0.999
Hg4 0.935 0.935 0.695
Sb1 0.121 0.121 0.767
Sb2 0.379 0.379 0.370

***

No. 3
An optimized crystal structure of ZnInHgSb. Source: Alexandria via LeMat-Bulk, functional PBE.

D(E_F), states/eV/cell: 1.177
Final energy, eV/f.u.: -8.02

Cell lengths 5.210, 5.210, 5.210 Å; angles 60.00, 60.00, 60.00 degrees
Atoms (fractional coordinates):
Zn1 0.000 0.000 0.000
In1 0.500 0.500 0.500
Hg1 0.250 0.250 0.250
Sb1 0.750 0.750 0.750

***

No. 4
An optimized crystal structure of Sc5InHg3. Source: Alexandria via LeMat-Bulk, functional PBE.

Formation enthalpy at 0 K, eV per atom: -0.38
D(E_F), states/eV/cell: 15.756
Final energy, eV/f.u.: -38.70

Cell lengths 8.640, 8.640, 6.240 Å; angles 90.00, 90.00, 120.00 degrees
Atoms (fractional coordinates):
Sc1 0.000 0.305 0.250
Sc2 0.000 0.695 0.750
Sc3 0.305 0.000 0.250
Sc4 0.305 0.305 0.750
Sc5 0.333 0.667 0.000
Sc6 0.333 0.667 0.500
Sc7 0.667 0.333 0.000
Sc8 0.667 0.333 0.500
Sc9 0.695 0.000 0.750
Sc10 0.695 0.695 0.250
In1 0.000 0.000 0.000
In2 0.000 0.000 0.500
Hg1 0.000 0.368 0.750
Hg2 0.000 0.632 0.250
Hg3 0.368 0.000 0.750
Hg4 0.368 0.368 0.250
Hg5 0.632 0.000 0.250
Hg6 0.632 0.632 0.750

***

No. 5
An optimized crystal structure of ScIn5Hg8. Source: Alexandria via LeMat-Bulk, functional PBE.

Formation enthalpy at 0 K, eV per atom: -0.02
D(E_F), states/eV/cell: 6.680
Final energy, eV/f.u.: -22.79

Cell lengths 7.819, 7.819, 7.819 Å; angles 107.71, 107.71, 113.06 degrees
Atoms (fractional coordinates):
Sc1 0.000 0.000 0.000
In1 0.277 0.696 0.213
In2 0.304 0.518 0.581
In3 0.482 0.063 0.787
In4 0.750 0.250 0.500
In5 0.937 0.723 0.419
Hg1 0.139 0.277 0.809
Hg2 0.154 0.738 0.833
Hg3 0.262 0.095 0.416
Hg4 0.469 0.330 0.191
Hg5 0.670 0.861 0.138
Hg6 0.679 0.846 0.584
Hg7 0.723 0.531 0.862
Hg8 0.905 0.321 0.167

***

No. 6
An optimized crystal structure of Sc2InHg. Source: Alexandria via LeMat-Bulk, functional PBE.

Formation enthalpy at 0 K, eV per atom: -0.31
D(E_F), states/eV/cell: 4.468
Final energy, eV/f.u.: -16.93

Cell lengths 5.839, 5.839, 5.839 Å; angles 137.25, 137.25, 62.06 degrees
Atoms (fractional coordinates):
Sc1 0.000 0.000 0.000
Sc2 0.750 0.250 0.500
In1 0.500 0.500 0.000
Hg1 0.250 0.750 0.500

***

No. 7
An optimized crystal structure of Sc2InHg2. Source: Alexandria via LeMat-Bulk, functional PBE.

Formation enthalpy at 0 K, eV per atom: -0.34
D(E_F), states/eV/cell: 7.459
Final energy, eV/f.u.: -17.73
E above lowest polymorph, meV/atom: 0.0

Cell lengths 7.876, 7.876, 3.648 Å; angles 90.00, 90.00, 90.00 degrees
Atoms (fractional coordinates):
Sc1 0.169 0.331 0.000
Sc2 0.331 0.831 0.000
Sc3 0.669 0.169 0.000
Sc4 0.831 0.669 0.000
In1 0.000 0.000 0.500
In2 0.500 0.500 0.500
Hg1 0.131 0.631 0.500
Hg2 0.369 0.131 0.500
Hg3 0.631 0.869 0.500
Hg4 0.869 0.369 0.500

***

No. 8
An optimized crystal structure of Sc7In2Hg2. Source: Alexandria via LeMat-Bulk, functional PBE.

Formation enthalpy at 0 K, eV per atom: -0.05
D(E_F), states/eV/cell: 10.189
Final energy, eV/f.u.: -50.92

Cell lengths 6.468, 6.468, 7.171 Å; angles 90.00, 90.00, 108.41 degrees
Atoms (fractional coordinates):
Sc1 0.000 0.000 0.000
Sc2 0.000 0.500 0.283
Sc3 0.000 0.500 0.717
Sc4 0.500 0.000 0.283
Sc5 0.500 0.000 0.717
Sc6 0.500 0.500 0.259
Sc7 0.500 0.500 0.741
In1 0.183 0.183 0.500
In2 0.817 0.817 0.500
Hg1 0.289 0.711 0.000
Hg2 0.711 0.289 0.000

***

The lowest final energy belongs to which entry?
Sc7In2Hg2

***

Number 4 is which compound?
Sc5InHg3